Compound: Zr2NpTlO8
Source: Alexandria
Functional: PBE
Structure: optimized geometry

abc: 5.054 6.700 5.058
angles: 90.00 90.34 90.00
Space group P2/m (No. 10)
Inequivalent atoms, fractional coordinates:
Zr 0.000 0.248 0.000
Np 0.500 0.500 0.500
Tl 0.500 0.000 0.500
O 0.184 0.000 0.182
O 0.192 0.500 0.190
O 0.296 0.270 0.702

Values from the calculation:
N(E_F) in states/eV per cell: 5.3
Formation energy from raw total energies in kJ/mol of atoms: -250.2
Spin magnetization in μB/atom: 0.167
E in eV/atom: -8.599